Run i
{"formula": "KLiNiTe", "functional": "PBE", "state": "relaxed", "lattice_angstrom": [[6.964, 0.000, 0.000], [0.000, 6.964, 0.000], [0.000, 0.000, 6.964]], "species": ["K", "K", "K", "K", "Li", "Li", "Li", "Li", "Ni", "Ni", "Ni", "Ni", "Te", "Te", "Te", "Te"], "frac_coords": [[0.000, 0.000, 0.000], [0.000, 0.500, 0.500], [0.500, 0.000, 0.500], [0.500, 0.500, 0.000], [0.250, 0.250, 0.250], [0.250, 0.750, 0.750], [0.750, 0.250, 0.750], [0.750, 0.750, 0.250], [0.000, 0.000, 0.500], [0.000, 0.500, 0.000], [0.500, 0.000, 0.000], [0.500, 0.500, 0.500], [0.250, 0.250, 0.750], [0.250, 0.750, 0.250], [0.750, 0.250, 0.250], [0.750, 0.750, 0.750]], "density_g_cm3": 4.6, "spacegroup": "F-43m, No. 216"}


Run ii
{"formula": "KLiNiTe", "functional": "PBE", "state": "relaxed", "lattice_angstrom": [[6.819, 0.000, 0.000], [0.000, 6.819, 0.000], [0.000, 0.000, 6.819]], "species": ["K", "K", "K", "K", "Li", "Li", "Li", "Li", "Ni", "Ni", "Ni", "Ni", "Te", "Te", "Te", "Te"], "frac_coords": [[0.000, 0.000, 0.000], [0.000, 0.500, 0.500], [0.500, 0.000, 0.500], [0.500, 0.500, 0.000], [0.250, 0.250, 0.750], [0.250, 0.750, 0.250], [0.750, 0.250, 0.250], [0.750, 0.750, 0.750], [0.250, 0.250, 0.250], [0.250, 0.750, 0.750], [0.750, 0.250, 0.750], [0.750, 0.750, 0.250], [0.000, 0.000, 0.500], [0.000, 0.500, 0.000], [0.500, 0.000, 0.000], [0.500, 0.500, 0.500]], "density_g_cm3": 4.9, "spacegroup": "F-43m, No. 216"}


Run iii
{"formula": "KLiNiTe", "functional": "PBE", "state": "relaxed", "lattice_angstrom": [[7.281, 0.000, 0.000], [0.000, 7.281, 0.000], [0.000, 0.000, 7.281]], "species": ["K", "K", "K", "K", "Li", "Li", "Li", "Li", "Ni", "Ni", "Ni", "Ni", "Te", "Te", "Te", "Te"], "frac_coords": [[0.000, 0.000, 0.000], [0.000, 0.500, 0.500], [0.500, 0.000, 0.500], [0.500, 0.500, 0.000], [0.000, 0.000, 0.500], [0.000, 0.500, 0.000], [0.500, 0.000, 0.000], [0.500, 0.500, 0.500], [0.250, 0.250, 0.750], [0.250, 0.750, 0.250], [0.750, 0.250, 0.250], [0.750, 0.750, 0.750], [0.250, 0.250, 0.250], [0.250, 0.750, 0.750], [0.750, 0.250, 0.750], [0.750, 0.750, 0.250]], "density_g_cm3": 4.0, "spacegroup": "F-43m, No. 216"}


run ii is preferred energetically. Next in line: 120 meV per atom higher.


Run i
{"formula": "K2Li3ReO6", "functional": "PBE", "state": "relaxed", "lattice_angstrom": [[2.879, -5.683, 0.000], [2.879, 5.683, 0.000], [-1.897, 0.000, 4.660]], "species": ["K", "K", "Li", "Li", "Li", "Re", "O", "O", "O", "O", "O", "O"], "frac_coords": [[0.181, 0.819, 0.000], [0.819, 0.181, 0.000], [0.000, 0.000, 0.500], [0.392, 0.608, 0.500], [0.608, 0.392, 0.500], [0.500, 0.500, 0.000], [0.182, 0.417, 0.742], [0.286, 0.286, 0.211], [0.417, 0.182, 0.742], [0.583, 0.818, 0.258], [0.714, 0.714, 0.789], [0.818, 0.583, 0.258]], "density_g_cm3": 4.2, "spacegroup": "C2/m, No. 12"}


Run ii
{"formula": "K2Li3ReO6", "functional": "PBE", "state": "relaxed", "lattice_angstrom": [[2.579, -5.376, 0.000], [2.579, 5.376, 0.000], [-2.276, 0.000, 5.298]], "species": ["K", "K", "Li", "Li", "Li", "Re", "O", "O", "O", "O", "O", "O"], "frac_coords": [[0.183, 0.817, 0.000], [0.817, 0.183, 0.000], [0.380, 0.620, 0.500], [0.500, 0.500, 0.000], [0.620, 0.380, 0.500], [0.000, 0.000, 0.500], [0.130, 0.377, 0.706], [0.213, 0.213, 0.294], [0.377, 0.130, 0.706], [0.623, 0.870, 0.294], [0.787, 0.787, 0.706], [0.870, 0.623, 0.294]], "density_g_cm3": 4.3, "spacegroup": "C2/m, No. 12"}


run i is preferred energetically. Next in line: 19 meV per atom higher.


Run i
{"formula": "KLiPdW", "functional": "PBE", "state": "relaxed", "lattice_angstrom": [[6.569, 0.000, 0.000], [0.000, 6.569, 0.000], [0.000, 0.000, 6.569]], "species": ["K", "K", "K", "K", "Li", "Li", "Li", "Li", "Pd", "Pd", "Pd", "Pd", "W", "W", "W", "W"], "frac_coords": [[0.000, 0.000, 0.000], [0.000, 0.500, 0.500], [0.500, 0.000, 0.500], [0.500, 0.500, 0.000], [0.250, 0.250, 0.250], [0.250, 0.750, 0.750], [0.750, 0.250, 0.750], [0.750, 0.750, 0.250], [0.000, 0.000, 0.500], [0.000, 0.500, 0.000], [0.500, 0.000, 0.000], [0.500, 0.500, 0.500], [0.250, 0.250, 0.750], [0.250, 0.750, 0.250], [0.750, 0.250, 0.250], [0.750, 0.750, 0.750]], "density_g_cm3": 7.9, "spacegroup": "F-43m, No. 216"}


Run ii
{"formula": "KLiPdW", "functional": "PBE", "state": "relaxed", "lattice_angstrom": [[7.010, 0.000, 0.000], [0.000, 7.010, 0.000], [0.000, 0.000, 7.010]], "species": ["K", "K", "K", "K", "Li", "Li", "Li", "Li", "Pd", "Pd", "Pd", "Pd", "W", "W", "W", "W"], "frac_coords": [[0.000, 0.000, 0.000], [0.000, 0.500, 0.500], [0.500, 0.000, 0.500], [0.500, 0.500, 0.000], [0.000, 0.000, 0.500], [0.000, 0.500, 0.000], [0.500, 0.000, 0.000], [0.500, 0.500, 0.500], [0.250, 0.250, 0.750], [0.250, 0.750, 0.250], [0.750, 0.250, 0.250], [0.750, 0.750, 0.750], [0.250, 0.250, 0.250], [0.250, 0.750, 0.750], [0.750, 0.250, 0.750], [0.750, 0.750, 0.250]], "density_g_cm3": 6.5, "spacegroup": "F-43m, No. 216"}


run i is preferred energetically. Next in line: 361 meV per atom higher.


Run i
{"formula": "K2Li2Pt", "functional": "PBE", "state": "relaxed", "lattice_angstrom": [[3.223, 0.000, 0.000], [0.000, 3.830, 0.000], [0.000, 0.000, 21.504]], "species": ["K", "K", "K", "K", "Li", "Li", "Li", "Li", "Pt", "Pt"], "frac_coords": [[0.000, 0.000, 0.162], [0.000, 0.000, 0.838], [0.500, 0.500, 0.338], [0.500, 0.500, 0.662], [0.000, 0.000, 0.449], [0.000, 0.000, 0.551], [0.500, 0.500, 0.051], [0.500, 0.500, 0.949], [0.000, 0.000, 0.000], [0.500, 0.500, 0.500]], "density_g_cm3": 3.6, "spacegroup": "Immm, No. 71"}


Run ii
{"formula": "K2Li2Pt", "functional": "PBE", "state": "relaxed", "lattice_angstrom": [[4.368, 0.000, 0.000], [-2.184, 3.783, 0.000], [0.000, 0.000, 18.934]], "species": ["K", "K", "K", "K", "Li", "Li", "Li", "Li", "Pt", "Pt"], "frac_coords": [[0.333, 0.667, 0.145], [0.333, 0.667, 0.355], [0.667, 0.333, 0.645], [0.667, 0.333, 0.855], [0.333, 0.667, 0.526], [0.333, 0.667, 0.974], [0.667, 0.333, 0.026], [0.667, 0.333, 0.474], [0.000, 0.000, 0.000], [0.000, 0.000, 0.500]], "density_g_cm3": 3.0, "spacegroup": "P6_3/mmc, No. 194"}


run ii is preferred energetically. Next in line: 141 meV per atom higher.


Run i
{"formula": "K2Lu", "functional": "PBE", "state": "relaxed", "lattice_angstrom": [[0.000, 8.887, 8.887], [8.887, 0.000, 8.887], [8.887, 8.887, 0.000]], "species": ["K", "K", "K", "K", "Lu", "Lu"], "frac_coords": [[0.000, 0.000, 0.000], [0.000, 0.000, 0.500], [0.000, 0.500, 0.000], [0.500, 0.000, 0.000], [0.125, 0.125, 0.125], [0.875, 0.875, 0.875]], "density_g_cm3": 0.6, "spacegroup": "Fd-3m, No. 227"}


Run ii
{"formula": "K2Lu", "functional": "PBE", "state": "relaxed", "lattice_angstrom": [[9.350, 0.000, 0.000], [0.000, 9.350, 0.000], [0.000, 0.000, 9.350]], "species": ["K", "K", "K", "K", "K", "K", "K", "K", "Lu", "Lu", "Lu", "Lu"], "frac_coords": [[0.250, 0.250, 0.250], [0.250, 0.250, 0.750], [0.250, 0.750, 0.250], [0.250, 0.750, 0.750], [0.750, 0.250, 0.250], [0.750, 0.250, 0.750], [0.750, 0.750, 0.250], [0.750, 0.750, 0.750], [0.000, 0.000, 0.000], [0.000, 0.500, 0.500], [0.500, 0.000, 0.500], [0.500, 0.500, 0.000]], "density_g_cm3": 2.1, "spacegroup": "Fm-3m, No. 225"}


Run iii
{"formula": "K2Lu", "functional": "PBE", "state": "relaxed", "lattice_angstrom": [[0.000, 5.214, 5.214], [5.214, 0.000, 5.214], [5.214, 5.214, 0.000]], "species": ["K", "K", "K", "K", "Lu", "Lu"], "frac_coords": [[0.000, 0.000, 0.000], [0.000, 0.000, 0.500], [0.000, 0.500, 0.000], [0.500, 0.000, 0.000], [0.375, 0.375, 0.375], [0.625, 0.625, 0.625]], "density_g_cm3": 3.0, "spacegroup": "Fd-3m, No. 227"}


Run iv
{"formula": "K2Lu", "functional": "PBE", "state": "relaxed", "lattice_angstrom": [[7.792, 0.000, 0.000], [-3.896, 6.748, 0.000], [0.000, 0.000, 11.107]], "species": ["K", "K", "K", "K", "K", "K", "K", "K", "Lu", "Lu", "Lu", "Lu"], "frac_coords": [[0.000, 0.000, 0.000], [0.000, 0.000, 0.500], [0.180, 0.360, 0.250], [0.180, 0.820, 0.250], [0.360, 0.180, 0.750], [0.640, 0.820, 0.250], [0.820, 0.180, 0.750], [0.820, 0.640, 0.750], [0.333, 0.667, 0.592], [0.333, 0.667, 0.908], [0.667, 0.333, 0.092], [0.667, 0.333, 0.408]], "density_g_cm3": 2.9, "spacegroup": "P6_3/mmc, No. 194"}


run iv is preferred energetically. Next in line: 35 meV per atom higher.